Material: Ga2PdS
Method: DFT, PBE-GGA
State: optimized geometry

Cell: 6.250 6.250 6.250 Å, 120.58 120.58 89.00°
Sites, in units of the cell vectors:
1 Ga 0.124 0.625 0.999
2 Ga 0.375 0.374 0.499
3 Ga 0.626 0.125 0.001
4 Ga 0.875 0.876 0.501
5 Pd 0.250 0.750 0.500
6 Pd 0.500 0.500 0.000
7 S 0.000 0.000 0.000
8 S 0.750 0.250 0.500

Summary:
- Space-group type: No. 122
- Uncorrected energy: -4.15 eV per atom
- Density of states at the Fermi level: 0.076 states/eV per cell
- E_form (uncorrected): -1.2 eV/f.u.